The following is a DFT calculation (PBE with a Hubbard U) of a geometry-optimized VCdHgO4 structure.

```
data_VCdHgO4
_chemical_formula_sum 'V4 Cd4 Hg4 O16'
_symmetry_space_group_name_H-M 'C 1 2/m 1'
_symmetry_Int_Tables_number 12
_cell_length_a 11.729
_cell_length_b 6.193
_cell_length_c 7.049
_cell_angle_alpha 90.00
_cell_angle_beta 100.90
_cell_angle_gamma 90.00
loop_
_symmetry_equiv_pos_as_xyz
'x,y,z'
'-x,-y,-z'
'-x,y,-z'
'x,-y,z'
'x+1/2,y+1/2,z'
'-x+1/2,-y+1/2,-z'
'-x+1/2,y+1/2,-z'
'x+1/2,-y+1/2,z'
loop_
_atom_site_label
_atom_site_type_symbol
_atom_site_fract_x
_atom_site_fract_y
_atom_site_fract_z
V1 V 0.131 0.000 0.258
Cd1 Cd 0.201 0.000 0.850
Hg1 Hg 0.109 0.500 0.490
O1 O 0.014 0.000 0.743
O2 O 0.173 0.225 0.140
O3 O 0.208 0.000 0.505
```

## Properties
total energy = -0.394 Ry/atom
N(E_F) = 0.00 states/eV/atom